{
  "formula": "ZnCS2",
  "functional": "PBE",
  "state": "relaxed",
  "raw_formation_energy_ev_per_atom": 0.45,
  "crystal_system": "trigonal",
  "polymorph_energy_ev_per_atom": 0.000,
  "vol_a3_per_atom": 18.85,
  "sg": "No. 166",
  "lattice_angstrom": [[1.9141, 1.1051, 5.9423], [-1.9141, 1.1051, 5.9423], [0.0000, -2.2102, 5.9423]],
  "species": ["Zn", "C", "S", "S"],
  "frac_coords": [[0.0000, 0.0000, 0.0000], [0.5000, 0.5000, 0.5000], [0.4107, 0.4107, 0.4107], [0.5893, 0.5893, 0.5893]]
}